Density functional theory data (GGA-PBE) for an optimized crystal structure of KReOs2.

Cell and atoms, written as POSCAR:
```
KReOs2
1.0
2.807 0.000 0.000
0.000 2.807 0.000
0.000 0.000 9.370
K Re Os
1 1 2
direct
0.000 0.000 0.000
0.000 0.000 0.500
0.500 0.500 0.309
0.500 0.500 0.691
```

Results
**Energy of formation from the pure elements**: 0.82 eV/atom